First-principles (PBE) data for NdErAlCd after structural relaxation, as listed in the Alexandria database.

Energy: -3.83 eV/atom
Crystal system: cubic
V: 103.3 Å³/cell
D(E_F): 3.3 states/eV per cell
Total moment: 0.00 μB/f.u.

```
4
Lattice="0.0000 3.7246 3.7246 3.7246 0.0000 3.7246 3.7246 3.7246 0.0000" Properties=species:S:1:pos:R:3 pbc="T T T"
Nd 0.0000 0.0000 0.0000
Er 3.7246 3.7246 3.7246
Al 5.5868 5.5868 5.5868
Cd 1.8623 1.8623 1.8623
```

***

First-principles (PBE) data for NdErAlCd after structural relaxation, as listed in the Alexandria database.

Energy: -3.85 eV/atom
Crystal system: tetragonal
V: 102.8 Å³/cell
D(E_F): 2.6 states/eV per cell
Total moment: 0.00 μB/f.u.

```
4
Lattice="3.6621 0.0000 0.0000 0.0000 3.6621 0.0000 0.0000 0.0000 7.6650" Properties=species:S:1:pos:R:3 pbc="T T T"
Nd 0.0000 0.0000 0.0000
Er 0.0000 0.0000 3.6480
Al 1.8310 1.8310 1.9265
Cd 1.8310 1.8310 5.4950
```

***

First-principles (PBE) data for ErPaAlCd after structural relaxation, as listed in the Alexandria database.

Energy: -4.69 eV/atom
Crystal system: cubic
V: 97.8 Å³/cell
D(E_F): 5.9 states/eV per cell
Total moment: 0.99 μB/f.u.

```
4
Lattice="0.0000 3.6570 3.6570 3.6570 0.0000 3.6570 3.6570 3.6570 0.0000" Properties=species:S:1:pos:R:3 pbc="T T T"
Er 0.0000 0.0000 0.0000
Pa 3.6570 3.6570 3.6570
Al 1.8285 1.8285 1.8285
Cd 5.4855 5.4855 5.4855
```

***

First-principles (PBE) data for ErAlCdPd after structural relaxation, as listed in the Alexandria database.

Energy: -4.13 eV/atom
Crystal system: cubic
V: 77.8 Å³/cell
D(E_F): 1.7 states/eV per cell
Total moment: 0.00 μB/f.u.

```
4
Lattice="0.0000 3.3881 3.3881 3.3881 0.0000 3.3881 3.3881 3.3881 0.0000" Properties=species:S:1:pos:R:3 pbc="T T T"
Er 0.0000 0.0000 0.0000
Al 3.3881 3.3881 3.3881
Cd 1.6941 1.6941 1.6941
Pd 5.0822 5.0822 5.0822
```

***

First-principles (PBE) data for PrErAlCd after structural relaxation, as listed in the Alexandria database.

Energy: -3.83 eV/atom
Crystal system: cubic
V: 104.6 Å³/cell
D(E_F): 3.4 states/eV per cell
Total moment: 0.00 μB/f.u.

```
4
Lattice="0.0000 3.7393 3.7393 3.7393 0.0000 3.7393 3.7393 3.7393 0.0000" Properties=species:S:1:pos:R:3 pbc="T T T"
Pr 0.0000 0.0000 0.0000
Er 3.7393 3.7393 3.7393
Al 5.6089 5.6089 5.6089
Cd 1.8696 1.8696 1.8696
```

***

First-principles (PBE) data for PrErAlCd after structural relaxation, as listed in the Alexandria database.

Energy: -3.85 eV/atom
Crystal system: tetragonal
V: 103.9 Å³/cell
D(E_F): 2.7 states/eV per cell
Total moment: 0.00 μB/f.u.

```
4
Lattice="3.6701 0.0000 0.0000 0.0000 3.6701 0.0000 0.0000 0.0000 7.7165" Properties=species:S:1:pos:R:3 pbc="T T T"
Pr 0.0000 0.0000 0.0000
Er 0.0000 0.0000 3.6696
Al 1.8350 1.8350 1.9559
Cd 1.8350 1.8350 5.5069
```

***

First-principles (PBE) data for ErScAlCd after structural relaxation, as listed in the Alexandria database.

Energy: -4.25 eV/atom
Crystal system: tetragonal
V: 89.6 Å³/cell
D(E_F): 2.5 states/eV per cell
Total moment: 0.00 μB/f.u.

```
4
Lattice="3.5164 0.0000 0.0000 0.0000 3.5164 0.0000 0.0000 0.0000 7.2467" Properties=species:S:1:pos:R:3 pbc="T T T"
Er 0.0000 0.0000 0.0000
Sc 0.0000 0.0000 3.7911
Al 1.7582 1.7582 5.4032
Cd 1.7582 1.7582 2.0423
```

***

First-principles (PBE) data for ErScAlCd after structural relaxation, as listed in the Alexandria database.

Energy: -4.23 eV/atom
Crystal system: cubic
V: 90.2 Å³/cell
D(E_F): 3.5 states/eV per cell
Total moment: 0.00 μB/f.u.

```
4
Lattice="0.0000 3.5590 3.5590 3.5590 0.0000 3.5590 3.5590 3.5590 0.0000" Properties=species:S:1:pos:R:3 pbc="T T T"
Er 0.0000 0.0000 0.0000
Sc 3.5590 3.5590 3.5590
Al 5.3384 5.3384 5.3384
Cd 1.7795 1.7795 1.7795
```